## Ca2ErF6 (PBE-GGA)

Data for a geometry-optimized Ca2ErF6 structure.

Cell and atoms, written as CIF:
```
data_Ca2ErF6
_chemical_formula_sum 'Ca4 Er2 F12'
_cell_length_a 5.170
_cell_length_b 5.170
_cell_length_c 11.184
_cell_angle_alpha 90.00
_cell_angle_beta 90.00
_cell_angle_gamma 90.00
_symmetry_space_group_name_H-M 'P 1'
_symmetry_Int_Tables_number 1
_symmetry_space_group_name_Hall 'P 1'
loop_
_atom_site_label
_atom_site_type_symbol
_atom_site_fract_x
_atom_site_fract_y
_atom_site_fract_z
Ca1 Ca 0.000 0.000 0.163
Ca2 Ca 0.000 0.000 0.837
Ca3 Ca 0.500 0.500 0.337
Ca4 Ca 0.500 0.500 0.663
Er1 Er 0.000 0.000 0.500
Er2 Er 0.500 0.500 0.000
F1 F 0.181 0.181 0.332
F2 F 0.181 0.181 0.668
F3 F 0.201 0.201 0.000
F4 F 0.299 0.701 0.500
F5 F 0.319 0.681 0.168
F6 F 0.319 0.681 0.832
F7 F 0.681 0.319 0.168
F8 F 0.681 0.319 0.832
F9 F 0.701 0.299 0.500
F10 F 0.799 0.799 0.000
F11 F 0.819 0.819 0.332
F12 F 0.819 0.819 0.668
```

**Crystal system**: tetragonal
**SG**: P4_2/mnm (136)
**Total magnetic moment**: 0.4 μB/f.u.
**ΔE_f (raw)**: -3.69 eV/atom

---

## Li2Zr2S5 (PBE-GGA)

Data for a geometry-optimized Li2Zr2S5 structure.

Cell and atoms, written as CIF:
```
data_Li2Zr2S5
_chemical_formula_sum 'Li4 Zr4 S10'
_cell_length_a 7.283
_cell_length_b 7.283
_cell_length_c 7.290
_cell_angle_alpha 90.00
_cell_angle_beta 90.00
_cell_angle_gamma 59.10
_symmetry_space_group_name_H-M 'P 1'
_symmetry_Int_Tables_number 1
_symmetry_space_group_name_Hall 'P 1'
loop_
_atom_site_label
_atom_site_type_symbol
_atom_site_fract_x
_atom_site_fract_y
_atom_site_fract_z
Li1 Li 0.201 0.201 0.000
Li2 Li 0.299 0.299 0.500
Li3 Li 0.701 0.701 0.500
Li4 Li 0.799 0.799 0.000
Zr1 Zr 0.156 0.844 0.659
Zr2 Zr 0.344 0.656 0.159
Zr3 Zr 0.656 0.344 0.841
Zr4 Zr 0.844 0.156 0.341
S1 S 0.000 0.000 0.000
S2 S 0.015 0.725 0.358
S3 S 0.225 0.515 0.858
S4 S 0.275 0.985 0.358
S5 S 0.485 0.775 0.858
S6 S 0.500 0.500 0.500
S7 S 0.515 0.225 0.142
S8 S 0.725 0.015 0.642
S9 S 0.775 0.485 0.142
S10 S 0.985 0.275 0.642
```

**Crystal system**: orthorhombic
**SG**: Cmce (64)
**Total magnetic moment**: 0.0 μB/f.u.
**ΔE_f (raw)**: -1.36 eV/atom

---

## BaZn6Pt4 (PBE-GGA)

Data for a geometry-optimized BaZn6Pt4 structure.

Cell and atoms, written as CIF:
```
data_BaZn6Pt4
_chemical_formula_sum 'Ba1 Zn6 Pt4'
_cell_length_a 7.406
_cell_length_b 7.406
_cell_length_c 4.193
_cell_angle_alpha 90.00
_cell_angle_beta 90.00
_cell_angle_gamma 120.00
_symmetry_space_group_name_H-M 'P 1'
_symmetry_Int_Tables_number 1
_symmetry_space_group_name_Hall 'P 1'
loop_
_atom_site_label
_atom_site_type_symbol
_atom_site_fract_x
_atom_site_fract_y
_atom_site_fract_z
Ba1 Ba 0.000 0.000 0.000
Zn1 Zn 0.070 0.535 0.000
Zn2 Zn 0.409 0.205 0.500
Zn3 Zn 0.465 0.535 0.000
Zn4 Zn 0.465 0.930 0.000
Zn5 Zn 0.795 0.205 0.500
Zn6 Zn 0.795 0.591 0.500
Pt1 Pt 0.205 0.411 0.500
Pt2 Pt 0.205 0.795 0.500
Pt3 Pt 0.589 0.795 0.500
Pt4 Pt 0.667 0.333 0.000
```

**Crystal system**: hexagonal
**SG**: P-6m2 (187)
**DFT formation energy**: -49 kJ per mole of atoms
**Total magnetic moment**: 0.0 μB/f.u.

---

## DyPuTlPb (PBE-GGA)

Data for a geometry-optimized DyPuTlPb structure.

Cell and atoms, written as CIF:
```
data_DyPuTlPb
_chemical_formula_sum 'Dy1 Pu1 Tl1 Pb1'
_cell_length_a 3.936
_cell_length_b 3.936
_cell_length_c 7.261
_cell_angle_alpha 90.00
_cell_angle_beta 90.00
_cell_angle_gamma 90.00
_symmetry_space_group_name_H-M 'P 1'
_symmetry_Int_Tables_number 1
_symmetry_space_group_name_Hall 'P 1'
loop_
_atom_site_label
_atom_site_type_symbol
_atom_site_fract_x
_atom_site_fract_y
_atom_site_fract_z
Dy1 Dy 0.000 0.000 0.000
Pu1 Pu 0.000 0.000 0.499
Tl1 Tl 0.500 0.500 0.758
Pb1 Pb 0.500 0.500 0.241
```

**Crystal system**: tetragonal
**SG**: P4mm (99)
**DFT formation energy**: -19 kJ per mole of atoms
**ΔE to the lowest computed polymorph**: 0 meV per atom
**Total magnetic moment**: 6.1 μB/f.u.

---

## KCoAsBr2 (PBE-GGA)

Data for a geometry-optimized KCoAsBr2 structure.

Cell and atoms, written as CIF:
```
data_KCoAsBr2
_chemical_formula_sum 'K1 Co1 As1 Br2'
_cell_length_a 5.404
_cell_length_b 5.404
_cell_length_c 4.386
_cell_angle_alpha 90.00
_cell_angle_beta 90.00
_cell_angle_gamma 90.00
_symmetry_space_group_name_H-M 'P 1'
_symmetry_Int_Tables_number 1
_symmetry_space_group_name_Hall 'P 1'
loop_
_atom_site_label
_atom_site_type_symbol
_atom_site_fract_x
_atom_site_fract_y
_atom_site_fract_z
K1 K 0.000 0.000 0.000
Co1 Co 0.500 0.500 0.500
As1 As 0.500 0.500 0.000
Br1 Br 0.000 0.500 0.500
Br2 Br 0.500 0.000 0.500
```

**Crystal system**: tetragonal
**SG**: P4/mmm (123)
**ΔE to the lowest computed polymorph**: 0 meV per atom
**Total magnetic moment**: 0.0 μB/f.u.
**ΔE_f (raw)**: -0.42 eV/atom

---

## MgTaCl2 (PBE-GGA)

Data for a geometry-optimized MgTaCl2 structure.

Cell and atoms, written as CIF:
```
data_MgTaCl2
_chemical_formula_sum 'Mg1 Ta1 Cl2'
_cell_length_a 3.115
_cell_length_b 4.352
_cell_length_c 5.643
_cell_angle_alpha 90.00
_cell_angle_beta 93.85
_cell_angle_gamma 90.00
_symmetry_space_group_name_H-M 'P 1'
_symmetry_Int_Tables_number 1
_symmetry_space_group_name_Hall 'P 1'
loop_
_atom_site_label
_atom_site_type_symbol
_atom_site_fract_x
_atom_site_fract_y
_atom_site_fract_z
Mg1 Mg 0.000 0.000 0.000
Ta1 Ta 0.500 0.000 0.500
Cl1 Cl 0.354 0.500 0.261
Cl2 Cl 0.646 0.500 0.739
```

**Crystal system**: monoclinic
**SG**: P2/m (10)
**ΔE to the lowest computed polymorph**: 324 meV per atom
**Total magnetic moment**: 0.0 μB/f.u.
**ΔE_f (raw)**: -0.24 eV/atom

---

## CoGe2IrN (PBE-GGA)

Data for a geometry-optimized CoGe2IrN structure.

Cell and atoms, written as CIF:
```
data_CoGe2IrN
_chemical_formula_sum 'Co1 Ge2 Ir1 N1'
_cell_length_a 4.768
_cell_length_b 4.768
_cell_length_c 3.279
_cell_angle_alpha 90.00
_cell_angle_beta 90.00
_cell_angle_gamma 90.00
_symmetry_space_group_name_H-M 'P 1'
_symmetry_Int_Tables_number 1
_symmetry_space_group_name_Hall 'P 1'
loop_
_atom_site_label
_atom_site_type_symbol
_atom_site_fract_x
_atom_site_fract_y
_atom_site_fract_z
Co1 Co 0.000 0.000 0.000
Ge1 Ge 0.000 0.500 0.000
Ge2 Ge 0.500 0.000 0.000
Ir1 Ir 0.500 0.500 0.500
N1 N 0.000 0.000 0.500
```

**Crystal system**: tetragonal
**SG**: P4/mmm (123)
**Total magnetic moment**: 0.0 μB/f.u.
**ΔE_f (raw)**: 0.60 eV/atom

---

## EuPuAsH (PBE-GGA)

Data for a geometry-optimized EuPuAsH structure.

Cell and atoms, written as CIF:
```
data_EuPuAsH
_chemical_formula_sum 'Eu4 Pu4 As4 H4'
_cell_length_a 6.966
_cell_length_b 6.966
_cell_length_c 6.966
_cell_angle_alpha 90.00
_cell_angle_beta 90.00
_cell_angle_gamma 90.00
_symmetry_space_group_name_H-M 'P 1'
_symmetry_Int_Tables_number 1
_symmetry_space_group_name_Hall 'P 1'
loop_
_atom_site_label
_atom_site_type_symbol
_atom_site_fract_x
_atom_site_fract_y
_atom_site_fract_z
Eu1 Eu 0.000 0.000 0.000
Eu2 Eu 0.000 0.500 0.500
Eu3 Eu 0.500 0.000 0.500
Eu4 Eu 0.500 0.500 0.000
Pu1 Pu 0.000 0.000 0.500
Pu2 Pu 0.000 0.500 0.000
Pu3 Pu 0.500 0.000 0.000
Pu4 Pu 0.500 0.500 0.500
As1 As 0.250 0.250 0.750
As2 As 0.250 0.750 0.250
As3 As 0.750 0.250 0.250
As4 As 0.750 0.750 0.750
H1 H 0.250 0.250 0.250
H2 H 0.250 0.750 0.750
H3 H 0.750 0.250 0.750
H4 H 0.750 0.750 0.250
```

**Crystal system**: cubic
**SG**: F-43m (216)
**DFT total energy**: -8.687 eV per atom
**Total magnetic moment**: 13.0 μB/f.u.

---

What is the formula in the eighth record?
EuPuAsH

---

Among the records above, which one has the highest total magnetic moment?
EuPuAsH

---

total magnetic moment of number 8 (EuPuAsH)?
13.0 μB/f.u.